[1]
VASP calculation (GGA-PBEsol) on ZnFe6Mo after structural relaxation.

Computed properties:
* energy relative to the elements: 0.087 eV/atom

a b c (Å): 6.1815 6.1815 10.1130
angles (deg): 90.00 90.00 109.90
Positions (direct):
Mo1 0.2439 0.7561 0.5000
Zn1 0.2473 0.7527 0.0000
Fe1 0.8727 0.6201 0.8751
Fe2 0.6201 0.8727 0.8751
Zn2 0.5000 0.5000 0.7485
Fe3 0.3764 0.1271 0.3759
Fe4 0.8729 0.6236 0.6241
Fe5 0.0000 0.0000 0.0000
Mo2 0.0000 0.0000 0.2575
Zn3 0.5000 0.5000 0.2515
Fe6 0.8729 0.6236 0.3759
Fe7 0.6236 0.8729 0.3759
Fe8 0.5000 0.5000 0.5000
Fe9 0.6236 0.8729 0.6241
Fe10 0.8727 0.6201 0.1249
Fe11 0.2507 0.7493 0.2491
Fe12 0.3799 0.1273 0.8751
Fe13 0.1271 0.3764 0.6241
Mo3 0.0000 0.0000 0.7425
Fe14 0.1273 0.3799 0.8751
Fe15 0.3799 0.1273 0.1249
Fe16 0.3764 0.1271 0.6241
Fe17 0.0000 0.0000 0.5000
Zn4 0.7527 0.2473 0.0000
Mo4 0.7561 0.2439 0.5000
Fe18 0.7493 0.2507 0.2491
Fe19 0.5000 0.5000 0.0000
Fe20 0.6201 0.8727 0.1249
Fe21 0.1271 0.3764 0.3759
Fe22 0.2507 0.7493 0.7509
Fe23 0.7493 0.2507 0.7509
Fe24 0.1273 0.3799 0.1249



[2]
VASP calculation (GGA-PBEsol) on Zn3FeMo after structural relaxation.

Computed properties:
* energy relative to the elements: 1.590 eV/atom

a b c (Å): 4.7101 4.7101 4.7101
angles (deg): 90.00 90.00 90.00
Positions (direct):
Zn1 0.0000 0.5000 0.0000
Zn2 0.5000 0.0000 0.0000
Zn3 0.0000 0.0000 0.5000
Mo1 0.0000 0.0000 0.0000
Fe1 0.5000 0.5000 0.5000



[3]
VASP calculation (GGA-PBEsol) on ZnFeMo after structural relaxation.

Computed properties:
* energy relative to the elements: 0.125 eV/atom

a b c (Å): 2.5737 2.5737 6.4083
angles (deg): 98.68 98.68 104.40
Positions (direct):
Fe1 0.0015 0.0015 0.0029
Mo1 0.3388 0.3388 0.6776
Zn1 0.6598 0.6598 0.3195



[4]
VASP calculation (GGA-PBEsol) on ZrFe2Mo after structural relaxation.

Computed properties:
* energy relative to the elements: 0.081 eV/atom

a b c (Å): 3.0621 3.0621 6.1676
angles (deg): 90.00 90.00 90.00
Positions (direct):
Zr1 0.5000 0.5000 0.7683
Fe1 0.5000 0.5000 0.2428
Mo1 0.0000 0.0000 0.4590
Fe2 0.0000 0.0000 0.0299



Number 1: E -265.75 eV/cell. Number 2: E -17.53 eV/cell. Number 3: E -21.94 eV/cell. Number 4: E -38.46 eV/cell.